(1)
Computed, not measured: a geometry-optimized YbI3O11 structure at the PBE level of DFT.

Lattice parameters (Å, degrees): 7.504 7.844 9.170 79.16 84.63 59.07
Last column: magnetic moment on the atom in μB.
Positions (direct):
O (0.046, 0.749, 0.573)  0.41
I (0.613, 0.138, 0.192)  0.00
Yb (0.138, 0.738, 0.147)  0.56
O (0.223, 0.484, 0.020)  0.03
O (0.365, 0.286, 0.582)  0.01
O (0.864, 0.095, 0.100)  0.03
I (0.387, 0.862, 0.808)  0.00
O (0.052, 0.547, 0.366)  0.03
O (0.469, 0.613, 0.769)  0.01
O (0.334, 0.153, 0.330)  0.03
O (0.435, 0.775, 0.121)  0.04
O (0.635, 0.714, 0.418)  0.01
O (0.203, 0.215, 0.883)  0.02
O (0.136, 0.905, 0.900)  0.03
O (0.797, 0.785, 0.117)  0.02
I (0.174, 0.271, 0.485)  -0.01
O (0.948, 0.453, 0.634)  0.03
O (0.666, 0.847, 0.670)  0.03
O (0.143, 0.860, 0.367)  1.40
I (0.826, 0.729, 0.515)  -0.01
I (0.713, 0.596, 0.163)  0.00
O (0.777, 0.516, 0.980)  0.03
O (0.857, 0.140, 0.633)  1.40
O (0.565, 0.225, 0.879)  0.04
Yb (0.862, 0.262, 0.853)  0.56
O (0.531, 0.387, 0.231)  0.01
O (0.221, 0.017, 0.629)  0.09
O (0.954, 0.251, 0.427)  0.41
I (0.287, 0.404, 0.837)  0.00
O (0.779, 0.983, 0.371)  0.09

VASP energy: -134.59 eV/cell
DOS at the Fermi energy: 24.9 states/eV/cell
Magnetic moment: 0.204 μB/atom
Formation energy (no corrections): -0.44 eV/atom
Calculated density: 5330 kg/m³
SG: P-1 (2)

(2)
Computed, not measured: a geometry-optimized YFe2Tc structure at the PBE level of DFT.

Lattice parameters (Å, degrees): 4.480 4.480 3.154 90.00 90.00 90.00
Last column: magnetic moment on the atom in μB.
Positions (direct):
Y (0.000, 0.500, 0.500)  -0.30
Fe (0.500, 0.500, 0.000)  2.29
Tc (0.500, 0.000, 0.500)  0.42
Fe (0.000, 0.000, 0.000)  2.29

Excess energy over the best structure of this formula in the dataset: 225 meV/atom
VASP energy: -32.38 eV/cell
DOS at the Fermi energy: 7.5 states/eV/cell
Magnetic moment: 1.162 μB/atom
Calculated density: 7833 kg/m³
SG: P4/mmm (123)

(3)
Computed, not measured: a geometry-optimized ScCdSeBr2 structure at the PBE level of DFT.

Lattice parameters (Å, degrees): 5.253 5.253 5.346 90.00 90.00 90.00
Positions (direct):
Cd (0.500, 0.500, 0.500)
Sc (0.000, 0.000, 0.000)
Se (0.000, 0.000, 0.500)
Br (0.000, 0.500, 0.000)
Br (0.500, 0.000, 0.000)

Excess energy over the best structure of this formula in the dataset: 0 meV/atom
VASP energy: -18.59 eV/cell
DOS at the Fermi energy: 2.3 states/eV/cell
Magnetic moment: 0.000 μB/atom
Formation energy (no corrections): -0.90 eV/atom
Calculated density: 4458 kg/m³
SG: P4/mmm (123)

(4)
Computed, not measured: a geometry-optimized Ba6Ag2HIr structure at the PBE level of DFT.

Lattice parameters (Å, degrees): 7.795 8.666 11.510 90.00 90.21 90.00
Positions (direct):
Ag (0.547, 0.603, 0.751)
Ba (0.322, 0.690, 0.056)
Ba (0.178, 0.190, 0.444)
H (0.500, 0.000, 0.500)
Ba (0.322, 0.682, 0.441)
Ag (0.453, 0.397, 0.249)
Ba (0.678, 0.310, 0.944)
H (0.000, 0.500, 0.000)
Ba (0.178, 0.182, 0.059)
Ba (0.881, 0.528, 0.249)
Ba (0.381, 0.972, 0.749)
Ag (0.953, 0.103, 0.749)
Ba (0.822, 0.810, 0.556)
Ba (0.619, 0.028, 0.251)
Ba (0.119, 0.472, 0.751)
Ir (0.500, 0.000, 0.000)
Ir (0.000, 0.500, 0.500)
Ba (0.822, 0.818, 0.941)
Ag (0.047, 0.897, 0.251)
Ba (0.678, 0.318, 0.559)

VASP energy: -63.60 eV/cell
DOS at the Fermi energy: 12.3 states/eV/cell
Magnetic moment: 0.000 μB/atom
Calculated density: 5266 kg/m³
SG: P2_1/c (14)